one) Dy2Ge3Pd2: relaxed, PBE.

Unit cell a=4.286 b=5.572 c=6.644 alpha=110.13 beta=90.00 gamma=112.62
Fractional positions:
Dy  0.850  0.699  0.219
Dy  0.150  0.301  0.781
Ge  0.500  0.000  0.000
Ge  0.609  0.217  0.446
Ge  0.391  0.783  0.554
Pd  0.855  0.711  0.754
Pd  0.145  0.289  0.246

Summary:
As for the crystal system: monoclinic. Its density of states at the Fermi level is 3.62 states/eV/cell.

two) Dy2Ge3Pd2: relaxed, PBE.

Unit cell a=4.213 b=7.041 c=9.386 alpha=90.00 beta=102.97 gamma=90.00
Fractional positions:
Dy  0.156  0.250  0.311
Dy  0.844  0.750  0.689
Dy  0.947  0.250  0.893
Dy  0.053  0.750  0.107
Ge  0.223  0.750  0.445
Ge  0.777  0.250  0.555
Ge  0.563  0.434  0.126
Ge  0.437  0.566  0.874
Ge  0.437  0.934  0.874
Ge  0.563  0.066  0.126
Pd  0.694  0.952  0.389
Pd  0.306  0.048  0.611
Pd  0.306  0.452  0.611
Pd  0.694  0.548  0.389

Summary:
As for the crystal system: orthorhombic. Its density of states at the Fermi level is 6.16 states/eV/cell.

The winner here is two), beating the second structure by 126 meV/atom.

one) Dy3Ge3Pd2: relaxed, PBE.

Unit cell a=4.333 b=5.701 c=14.401 alpha=90.00 beta=90.00 gamma=112.34
Fractional positions:
Dy  0.912  0.824  0.391
Dy  0.088  0.176  0.891
Dy  0.912  0.824  0.109
Dy  0.088  0.176  0.609
Dy  0.638  0.276  0.250
Dy  0.362  0.724  0.750
Ge  0.611  0.222  0.461
Ge  0.389  0.778  0.961
Ge  0.611  0.222  0.039
Ge  0.389  0.778  0.539
Ge  0.347  0.695  0.250
Ge  0.653  0.305  0.750
Pd  0.797  0.594  0.899
Pd  0.203  0.406  0.399
Pd  0.797  0.594  0.601
Pd  0.203  0.406  0.101

Summary:
As for the crystal system: orthorhombic. Its density of states at the Fermi level is 5.00 states/eV/cell.

two) Dy3Ge3Pd2: relaxed, PBE.

Unit cell a=5.762 b=8.006 c=14.479 alpha=90.00 beta=90.00 gamma=90.00
Fractional positions:
Dy  0.134  0.462  0.390
Dy  0.634  0.038  0.610
Dy  0.866  0.538  0.890
Dy  0.366  0.962  0.110
Dy  0.866  0.538  0.610
Dy  0.366  0.962  0.390
Dy  0.134  0.462  0.110
Dy  0.634  0.038  0.890
Dy  0.629  0.315  0.250
Dy  0.129  0.185  0.750
Dy  0.371  0.685  0.750
Dy  0.871  0.815  0.250
Ge  0.119  0.180  0.250
Ge  0.619  0.320  0.750
Ge  0.881  0.820  0.750
Ge  0.381  0.680  0.250
Ge  0.599  0.298  0.460
Ge  0.099  0.202  0.540
Ge  0.401  0.702  0.960
Ge  0.901  0.798  0.040
Ge  0.401  0.702  0.540
Ge  0.901  0.798  0.460
Ge  0.599  0.298  0.040
Ge  0.099  0.202  0.960
Pd  0.875  0.088  0.395
Pd  0.375  0.412  0.605
Pd  0.125  0.912  0.895
Pd  0.625  0.588  0.105
Pd  0.125  0.912  0.605
Pd  0.625  0.588  0.395
Pd  0.875  0.088  0.105
Pd  0.375  0.412  0.895

Summary:
As for the crystal system: orthorhombic. Its density of states at the Fermi level is 14.35 states/eV/cell.

The winner here is one), beating the second structure by 56 meV/atom.

one) DyGe2Pd4: relaxed, PBE.

Unit cell a=4.217 b=6.700 c=17.183 alpha=90.00 beta=90.00 gamma=90.00
Fractional positions:
Ge  0.250  0.736  0.543
Ge  0.750  0.264  0.457
Ge  0.750  0.236  0.957
Ge  0.250  0.764  0.043
Ge  0.250  0.988  0.779
Ge  0.750  0.012  0.221
Ge  0.750  0.488  0.721
Ge  0.250  0.512  0.279
Pd  0.250  0.280  0.689
Pd  0.750  0.720  0.311
Pd  0.750  0.780  0.811
Pd  0.250  0.220  0.189
Pd  0.250  0.696  0.690
Pd  0.750  0.304  0.310
Pd  0.750  0.196  0.810
Pd  0.250  0.804  0.190
Pd  0.250  0.140  0.526
Pd  0.750  0.860  0.474
Pd  0.750  0.640  0.974
Pd  0.250  0.360  0.026
Pd  0.250  0.507  0.426
Pd  0.750  0.493  0.574
Pd  0.750  0.007  0.074
Pd  0.250  0.993  0.926
Dy  0.750  0.991  0.640
Dy  0.250  0.009  0.360
Dy  0.250  0.491  0.860
Dy  0.750  0.509  0.140

Summary:
As for the crystal system: orthorhombic. Its density of states at the Fermi level is 15.30 states/eV/cell.

two) DyGe2Pd4: relaxed, PBE.

Unit cell a=3.874 b=7.925 c=7.925 alpha=90.00 beta=90.00 gamma=90.00
Fractional positions:
Dy  0.500  0.000  0.000
Dy  0.000  0.500  0.500
Ge  0.000  0.222  0.778
Ge  0.000  0.778  0.222
Ge  0.500  0.722  0.722
Ge  0.500  0.278  0.278
Pd  0.000  0.078  0.327
Pd  0.000  0.922  0.673
Pd  0.500  0.173  0.578
Pd  0.500  0.827  0.422
Pd  0.500  0.422  0.827
Pd  0.500  0.578  0.173
Pd  0.000  0.327  0.078
Pd  0.000  0.673  0.922

Summary:
As for the crystal system: tetragonal. Its density of states at the Fermi level is 8.57 states/eV/cell.

The winner here is two), beating the second structure by 28 meV/atom.

one) DyGe2Pd7: relaxed, PBE.

Unit cell a=4.493 b=7.094 c=7.094 alpha=117.55 beta=90.00 gamma=90.00
Fractional positions:
Dy  0.000  0.000  0.000
Ge  0.500  0.698  0.302
Ge  0.500  0.302  0.698
Pd  0.000  0.770  0.230
Pd  0.000  0.230  0.770
Pd  0.500  0.065  0.309
Pd  0.500  0.935  0.691
Pd  0.500  0.309  0.065
Pd  0.500  0.691  0.935
Pd  0.500  0.500  0.500

Summary:
As for the crystal system: orthorhombic. Its density of states at the Fermi level is 5.01 states/eV/cell.

two) DyGe2Pd7: relaxed, PBE.

Unit cell a=4.095 b=4.095 c=10.615 alpha=101.12 beta=101.12 gamma=90.00
Fractional positions:
Dy  0.000  0.000  0.000
Ge  0.675  0.675  0.349
Ge  0.325  0.325  0.651
Pd  0.104  0.604  0.208
Pd  0.396  0.896  0.792
Pd  0.604  0.104  0.208
Pd  0.500  0.500  0.000
Pd  0.750  0.250  0.500
Pd  0.896  0.396  0.792
Pd  0.250  0.750  0.500

Summary:
As for the crystal system: tetragonal. Its density of states at the Fermi level is 4.05 states/eV/cell.

The winner here is two), beating the second structure by 318 meV/atom.

one) Dy2Ge3Pd5: relaxed, PBE.

Unit cell a=4.308 b=6.812 c=12.338 alpha=90.00 beta=100.05 gamma=90.00
Fractional positions:
Dy  0.477  0.717  0.954
Dy  0.174  0.762  0.349
Dy  0.826  0.262  0.651
Dy  0.523  0.217  0.046
Ge  0.774  0.814  0.548
Ge  0.620  0.456  0.240
Ge  0.048  0.929  0.096
Ge  0.226  0.314  0.452
Ge  0.952  0.429  0.904
Ge  0.380  0.956  0.760
Pd  0.404  0.330  0.808
Pd  0.302  0.587  0.604
Pd  0.698  0.087  0.396
Pd  0.124  0.210  0.248
Pd  0.277  0.006  0.554
Pd  0.944  0.053  0.888
Pd  0.723  0.506  0.446
Pd  0.876  0.710  0.752
Pd  0.056  0.553  0.112
Pd  0.596  0.830  0.192

Summary:
As for the crystal system: orthorhombic. Its density of states at the Fermi level is 7.70 states/eV/cell.

two) Dy2Ge3Pd5: relaxed, PBE.

Unit cell a=5.796 b=8.490 c=8.490 alpha=84.22 beta=70.04 gamma=70.04
Fractional positions:
Dy  0.136  0.586  0.143
Dy  0.636  0.143  0.586
Dy  0.864  0.414  0.857
Dy  0.364  0.857  0.414
Ge  0.363  0.514  0.760
Ge  0.863  0.760  0.514
Ge  0.637  0.486  0.240
Ge  0.137  0.240  0.486
Ge  0.250  0.000  0.000
Ge  0.750  0.000  0.000
Pd  0.405  0.261  0.930
Pd  0.905  0.930  0.261
Pd  0.595  0.739  0.070
Pd  0.095  0.070  0.739
Pd  0.482  0.768  0.768
Pd  0.518  0.232  0.232
Pd  0.750  0.500  0.500
Pd  0.250  0.500  0.500
Pd  0.018  0.232  0.232
Pd  0.982  0.768  0.768

Summary:
As for the crystal system: orthorhombic. Its density of states at the Fermi level is 12.73 states/eV/cell.

The winner here is one), beating the second structure by 20 meV/atom.

one) Dy3Ge4Pd2: relaxed, PBE.

Unit cell a=4.337 b=5.799 c=8.290 alpha=104.50 beta=90.00 gamma=111.96
Fractional positions:
Dy  0.664  0.328  0.664
Dy  0.000  0.000  0.000
Dy  0.336  0.672  0.336
Ge  0.729  0.459  0.068
Ge  0.271  0.541  0.932
Ge  0.938  0.877  0.607
Ge  0.062  0.123  0.393
Pd  0.604  0.209  0.275
Pd  0.396  0.791  0.725

Summary:
As for the crystal system: monoclinic. Its density of states at the Fermi level is 4.97 states/eV/cell.

two) Dy3Ge4Pd2: relaxed, PBE.

Unit cell a=4.281 b=5.809 c=8.294 alpha=106.72 beta=90.00 gamma=111.62
Fractional positions:
Dy  0.629  0.257  0.695
Dy  0.000  0.000  0.000
Dy  0.371  0.743  0.305
Ge  0.707  0.415  0.064
Ge  0.293  0.585  0.936
Ge  0.925  0.849  0.602
Ge  0.075  0.151  0.398
Pd  0.687  0.375  0.360
Pd  0.313  0.625  0.640

Summary:
As for the crystal system: monoclinic. Its density of states at the Fermi level is 3.22 states/eV/cell.

The winner here is two), beating the second structure by 17 meV/atom.

one) PrDyGePd: relaxed, PBE.

Unit cell a=4.059 b=4.339 c=5.907 alpha=90.00 beta=110.09 gamma=90.00
Fractional positions:
Pr  0.141  0.000  0.282
Dy  0.865  0.500  0.729
Ge  0.576  0.500  0.151
Pd  0.419  0.000  0.837

Summary:
As for the crystal system: orthorhombic. Its density of states at the Fermi level is 2.07 states/eV/cell.

two) PrDyGePd: relaxed, PBE.

Unit cell a=5.121 b=5.121 c=5.121 alpha=60.00 beta=60.00 gamma=60.00
Fractional positions:
Pr  0.750  0.750  0.750
Ge  0.000  0.000  0.000
Pd  0.500  0.500  0.500
Dy  0.250  0.250  0.250

Summary:
As for the crystal system: cubic. Its density of states at the Fermi level is 2.01 states/eV/cell.

The winner here is one), beating the second structure by 92 meV/atom.

one) DyYGePd: relaxed, PBE.

Unit cell a=3.918 b=4.322 c=5.775 alpha=90.00 beta=109.83 gamma=90.00
Fractional positions:
Dy  0.138  0.000  0.276
Y  0.860  0.500  0.720
Ge  0.582  0.500  0.164
Pd  0.420  0.000  0.841

Summary:
As for the crystal system: orthorhombic. Its density of states at the Fermi level is 1.59 states/eV/cell.

two) DyYGePd: relaxed, PBE.

Unit cell a=5.018 b=5.018 c=5.018 alpha=60.00 beta=60.00 gamma=60.00
Fractional positions:
Y  0.250  0.250  0.250
Ge  0.000  0.000  0.000
Pd  0.500  0.500  0.500
Dy  0.750  0.750  0.750

Summary:
As for the crystal system: cubic. Its density of states at the Fermi level is 1.56 states/eV/cell.

The winner here is one), beating the second structure by 83 meV/atom.

one) PmDy2Ge: relaxed, PBE.

Unit cell a=3.855 b=3.855 c=7.322 alpha=90.00 beta=90.00 gamma=90.00
Fractional positions:
Ge  0.500  0.500  0.500
Pm  0.500  0.500  0.000
Dy  0.000  0.000  0.700
Dy  0.000  0.000  0.300

Summary:
As for the crystal system: tetragonal. Its density of states at the Fermi level is 4.70 states/eV/cell.

two) PmDy2Ge: relaxed, PBE.

Unit cell a=3.714 b=3.714 c=10.165 alpha=79.47 beta=79.47 gamma=60.00
Fractional positions:
Ge  0.000  0.000  0.000
Pm  0.500  0.500  0.500
Dy  0.268  0.268  0.196
Dy  0.732  0.732  0.804

Summary:
As for the crystal system: trigonal. Its density of states at the Fermi level is 5.01 states/eV/cell.

three) PmDy2Ge: relaxed, PBE.

Unit cell a=3.774 b=3.774 c=9.986 alpha=79.11 beta=79.11 gamma=60.00
Last column: magnetic moment on the atom in μB.
Fractional positions:
Pm  0.501  0.501  0.498  0.11
Dy  0.064  0.064  0.807  0.03
Dy  0.269  0.269  0.194  0.03
Ge  0.666  0.666  0.001  0.00

Summary:
As for the crystal system: trigonal. Its density of states at the Fermi level is 5.63 states/eV/cell.

four) PmDy2Ge: relaxed, PBE.

Unit cell a=4.694 b=4.712 c=4.712 alpha=90.00 beta=90.00 gamma=90.00
Fractional positions:
Ge  0.500  0.000  0.000
Pm  0.500  0.500  0.500
Dy  0.000  0.000  0.500
Dy  0.000  0.500  0.000

Summary:
As for the crystal system: tetragonal. Its density of states at the Fermi level is 4.85 states/eV/cell.

The winner here is four), beating the second structure by 21 meV/atom.

one) PmDyGe: relaxed, PBE.

Unit cell a=4.256 b=4.747 c=4.747 alpha=120.00 beta=90.00 gamma=90.00
Fractional positions:
Ge  0.066  0.000  0.000
Pm  0.703  0.333  0.667
Dy  0.230  0.667  0.333

Summary:
As for the crystal system: trigonal. Its density of states at the Fermi level is 1.84 states/eV/cell.

two) PmDyGe: relaxed, PBE.

Unit cell a=4.430 b=4.430 c=8.211 alpha=89.99 beta=90.01 gamma=90.01
Fractional positions:
Pm  0.680  0.525  0.402
Pm  0.180  0.025  0.691
Dy  0.680  0.025  0.046
Dy  0.180  0.525  0.047
Ge  0.680  0.526  0.776
Ge  0.180  0.025  0.317

Summary:
As for the crystal system: tetragonal. Its density of states at the Fermi level is 7.88 states/eV/cell.

The winner here is two), beating the second structure by 198 meV/atom.